A relaxed LiHoCoF6 crystal. Source: Alexandria via LeMat-Bulk, functional PBE with a Hubbard U.

Cell: 4.921 4.921 9.765 Å, 90.00 90.00 90.00°
Fractional coordinates of all 18 atoms:
Li 0.000 0.000 0.000
Li 0.500 0.500 0.500
Ho 0.000 0.000 0.663
Ho 0.500 0.500 0.163
Co 0.000 0.000 0.330
Co 0.500 0.500 0.830
F 0.188 0.188 0.165
F 0.199 0.199 0.490
F 0.206 0.206 0.832
F 0.294 0.706 0.332
F 0.301 0.699 0.990
F 0.312 0.688 0.665
F 0.688 0.312 0.665
F 0.699 0.301 0.990
F 0.706 0.294 0.332
F 0.794 0.794 0.832
F 0.801 0.801 0.490
F 0.812 0.812 0.165

Properties
Magnetic moment = 3.000 μB per formula unit
Space group = No. 102
DFT total energy = -5.716 eV per atom